Below is a geometry-optimized Y2ReMo structure, with properties calculated at the GGA-PBE level.

Lattice parameters (Å, degrees): 5.656 5.656 2.921 90.00 90.00 118.02
Sites, in units of the cell vectors:
Y  0.000  0.500  0.000
Y  0.500  0.000  0.000
Re  0.000  0.000  0.500
Mo  0.500  0.500  0.500

- M_tot (μB per cell) = 0.0
- uncorrected energy (eV per atom) = -8.41
- crystal system = orthorhombic